A relaxed structure of Er3ThS4. Source: Alexandria via LeMat-Bulk, functional GGA-PBE.

It has space group Cmmm (No. 65), with a = 7.890 Å, b = 11.078 Å, c = 3.879 Å, α = 90.00°, β = 90.00° and γ = 90.00°. Symmetry generates all atoms from Er at (0.000, 0.000, 0.000), Er at (0.250, 0.250, 0.500), Th at (0.000, 0.500, 0.000), S at (0.000, 0.244, 0.000) and S at (0.238, 0.000, 0.500).

Its crystal system is orthorhombic. The value obtained for the density of states at the Fermi level is 0.41 states/eV per atom. Its calculated density is 8445 kg/m³. The calculation puts the energy relative to the elements, uncorrected at -43.95 kcal/mol of atoms.

A relaxed structure of Er4Th3S8. Source: Alexandria via LeMat-Bulk, functional GGA-PBE.

It has space group C2/m (No. 12), with a = 11.157 Å, b = 11.158 Å, c = 7.876 Å, α = 90.00°, β = 134.85° and γ = 90.00°. Symmetry generates all atoms from Er at (0.000, 0.000, 0.000), Er at (0.000, 0.000, 0.500), Er at (0.250, 0.250, 0.000), Th at (0.000, 0.500, 0.000), Th at (0.250, 0.250, 0.500), S at (0.000, 0.244, 0.000), S at (0.000, 0.248, 0.500), S at (0.243, 0.000, 0.488) and S at (0.243, 0.000, 0.995).

Its crystal system is monoclinic. The value obtained for the density of states at the Fermi level is 0.57 states/eV per atom. Its calculated density is 7747 kg/m³. The calculation puts the energy relative to the elements, uncorrected at -44.59 kcal/mol of atoms.

A relaxed structure of ErThS2. Source: Alexandria via LeMat-Bulk, functional GGA-PBE.

It has space group R3m (No. 160, hexagonal axes), with a = 3.8307 Å, b = 3.8307 Å, c = 21.1591 Å, α = 90.00°, β = 90.00° and γ = 120.00°. Symmetry generates all atoms from Er at (0.0000, 0.0000, 0.0000), Th at (0.0000, 0.0000, 0.1740), S at (0.0000, 0.0000, 0.4134) and S at (0.0000, 0.0000, 0.5938).

Its crystal system is trigonal. The value obtained for the density of states at the Fermi level is 0.68 states/eV per atom. Its calculated density is 8586 kg/m³. The calculation puts the energy relative to the elements, uncorrected at -41.50 kcal/mol of atoms.

Please write out number 1 again, unchanged.
A relaxed structure of Er3ThS4. Source: Alexandria via LeMat-Bulk, functional GGA-PBE.

It has space group Cmmm (No. 65), with a = 7.890 Å, b = 11.078 Å, c = 3.879 Å, α = 90.00°, β = 90.00° and γ = 90.00°. Symmetry generates all atoms from Er at (0.000, 0.000, 0.000), Er at (0.250, 0.250, 0.500), Th at (0.000, 0.500, 0.000), S at (0.000, 0.244, 0.000) and S at (0.238, 0.000, 0.500).

Its crystal system is orthorhombic. The value obtained for the density of states at the Fermi level is 0.41 states/eV per atom. Its calculated density is 8445 kg/m³. The calculation puts the energy relative to the elements, uncorrected at -43.95 kcal/mol of atoms.